1.
Material: Ti2AlC
Method: DFT, PBE
State: relaxed

Lattice parameters (Å, degrees): 6.002 6.002 6.002 90.00 90.00 90.00
Sites, in units of the cell vectors:
Ti  0.250  0.250  0.250
Ti  0.250  0.250  0.750
Ti  0.250  0.750  0.250
Ti  0.250  0.750  0.750
Ti  0.750  0.250  0.250
Ti  0.750  0.250  0.750
Ti  0.750  0.750  0.250
Ti  0.750  0.750  0.750
Al  0.000  0.000  0.000
Al  0.000  0.500  0.500
Al  0.500  0.000  0.500
Al  0.500  0.500  0.000
C  0.000  0.000  0.500
C  0.000  0.500  0.000
C  0.500  0.000  0.000
C  0.500  0.500  0.500

Calculated values
offset from the most stable computed form: 32.010 kcal/mol of atoms

2.
Material: Ti6AlC4
Method: DFT, PBE
State: relaxed

Lattice parameters (Å, degrees): 5.430 5.430 16.477 90.00 90.00 146.53
Sites, in units of the cell vectors:
Ti  0.000  0.000  0.000
Ti  0.000  0.000  0.500
Ti  0.137  0.863  0.750
Ti  0.274  0.726  0.077
Ti  0.274  0.726  0.423
Ti  0.466  0.534  0.646
Ti  0.466  0.534  0.854
Ti  0.534  0.466  0.146
Ti  0.534  0.466  0.354
Ti  0.726  0.274  0.577
Ti  0.726  0.274  0.923
Ti  0.863  0.137  0.250
Al  0.159  0.841  0.250
Al  0.841  0.159  0.750
C  0.091  0.909  0.621
C  0.091  0.909  0.879
C  0.361  0.639  0.540
C  0.361  0.639  0.960
C  0.639  0.361  0.040
C  0.639  0.361  0.460
C  0.909  0.091  0.121
C  0.909  0.091  0.379

3.
Material: Ti5Al2C3
Method: DFT, PBE
State: relaxed

Lattice parameters (Å, degrees): 16.371 16.371 16.371 10.78 10.78 10.78
Sites, in units of the cell vectors:
Ti  0.000  0.000  0.000
Ti  0.190  0.190  0.190
Ti  0.285  0.285  0.285
Ti  0.715  0.715  0.715
Ti  0.810  0.810  0.810
Al  0.096  0.096  0.096
Al  0.904  0.904  0.904
C  0.360  0.360  0.360
C  0.500  0.500  0.500
C  0.640  0.640  0.640

| no. | energy relative to the elements (kcal/mol of atoms) | Fermi-level density of states (states/eV/f.u.) | electronic total energy (eV per atom) |
| --- | --- | --- | --- |
| 1 | 15.84 | 4.88 | -6.50 |
| 2 | -16.43 | 4.45 | -8.71 |
| 3 | -16.86 | 5.82 | -8.19 |